# 1
The following is a PBE calculation of SmDy2Y3Ho6 after structural relaxation, from the Alexandria database.

Cell lengths 6.1412, 6.1412, 11.7600 Å; angles 94.97, 94.97, 119.94 degrees
Closest atoms and distances in Å follow each position.
Positions (direct):
Sm: 0.0000 0.0000 0.0000  6 Ho 3.54-3.55, 6 Dy 3.54-3.55
Dy: 0.3333 0.6667 0.0000  6 Ho 3.54, 3 Sm 3.54-3.55, 3 Dy 3.54-3.55
Dy: 0.6667 0.3333 0.0000  6 Ho 3.54, 3 Sm 3.54-3.55, 3 Dy 3.54-3.55
Y: 0.1669 0.8331 0.5000  6 Y 3.54-3.55, 6 Ho 3.55
Y: 0.5000 0.5000 0.5000  6 Y 3.54-3.55, 6 Ho 3.55
Y: 0.8331 0.1669 0.5000  6 Y 3.54-3.55, 6 Ho 3.55
Ho: 0.0834 0.4171 0.2497  2 Dy 3.54, 6 Ho 3.54-3.55, 1 Sm 3.55, 3 Y 3.55
Ho: 0.2504 0.2504 0.7503  6 Ho 3.54-3.55, 1 Sm 3.54, 2 Dy 3.54, 3 Y 3.55
Ho: 0.4171 0.0834 0.2497  2 Dy 3.54, 6 Ho 3.54-3.55, 1 Sm 3.55, 3 Y 3.55
Ho: 0.5829 0.9166 0.7503  2 Dy 3.54, 6 Ho 3.54-3.55, 1 Sm 3.55, 3 Y 3.55
Ho: 0.7496 0.7496 0.2497  6 Ho 3.54-3.55, 1 Sm 3.54, 2 Dy 3.54, 3 Y 3.55
Ho: 0.9166 0.5829 0.7503  2 Dy 3.54, 6 Ho 3.54-3.55, 1 Sm 3.55, 3 Y 3.55

**ΔH_f (0 K)**: 0.24 eV per formula unit
**Space-group type**: C2/m

---

# 2
The following is a PBE calculation of Pr3Dy6Er2Zr after structural relaxation, from the Alexandria database.

Cell lengths 6.1427, 6.1427, 11.7275 Å; angles 94.99, 94.99, 119.94 degrees
Closest atoms and distances in Å follow each position.
Positions (direct):
Pr: 0.0000 0.0000 0.0000  6 Pr 3.54-3.55, 6 Dy 3.63-3.66
Pr: 0.3341 0.6659 0.0000  6 Pr 3.53-3.56, 6 Dy 3.62-3.67
Pr: 0.6659 0.3341 0.0000  6 Pr 3.53-3.56, 6 Dy 3.62-3.67
Dy: 0.0937 0.4204 0.2603  1 Zr 3.42, 2 Er 3.46, 6 Dy 3.47-3.59, 3 Pr 3.62-3.67
Dy: 0.2532 0.2532 0.7395  1 Zr 3.42, 2 Er 3.46, 6 Dy 3.48-3.59, 3 Pr 3.62-3.66
Dy: 0.4204 0.0937 0.2603  1 Zr 3.42, 2 Er 3.46, 6 Dy 3.47-3.59, 3 Pr 3.62-3.67
Dy: 0.5796 0.9063 0.7397  1 Zr 3.42, 2 Er 3.46, 6 Dy 3.47-3.59, 3 Pr 3.62-3.67
Dy: 0.7468 0.7468 0.2605  1 Zr 3.42, 2 Er 3.46, 6 Dy 3.48-3.59, 3 Pr 3.62-3.66
Dy: 0.9063 0.5796 0.7397  1 Zr 3.42, 2 Er 3.46, 6 Dy 3.47-3.59, 3 Pr 3.62-3.67
Er: 0.1668 0.8332 0.5000  6 Dy 3.46, 3 Zr 3.54-3.55, 3 Er 3.55
Er: 0.8332 0.1668 0.5000  6 Dy 3.46, 3 Zr 3.54-3.55, 3 Er 3.55
Zr: 0.5000 0.5000 0.5000  6 Dy 3.42, 6 Er 3.54-3.55

**ΔH_f (0 K)**: 0.56 eV per formula unit
**Space-group type**: C2/m

---

# 3
The following is a PBE calculation of AlFe2Si after structural relaxation, from the Alexandria database.

Cell lengths 5.2467, 5.2467, 5.2467 Å; angles 103.82, 103.82, 121.49 degrees
Closest atoms and distances in Å follow each position.
Positions (direct):
Al: 0.0000 0.0000 0.0000  4 Fe 2.52, 2 Si 2.56
Al: 0.7500 0.2500 0.5000  4 Fe 2.52, 2 Si 2.56
Fe: 0.1566 0.1250 0.5316  2 Si 2.24
Fe: 0.3750 0.8434 0.9684  2 Si 2.24
Fe: 0.5934 0.6250 0.4684  2 Si 2.24
Fe: 0.8750 0.4066 0.0316  2 Si 2.24
Si: 0.2500 0.7500 0.5000  4 Fe 2.24
Si: 0.5000 0.5000 0.0000  4 Fe 2.24

**Formation energy (no corrections)**: 4.643 kcal/mol of atoms
**Space-group type**: I-42d

---

# 4
The following is a PBE calculation of SiIr2Rh after structural relaxation, from the Alexandria database.

Cell lengths 2.8213, 3.9641, 5.2095 Å; angles 90.00, 104.00, 90.00 degrees
Closest atoms and distances in Å follow each position.
Positions (direct):
Si: 0.0000 0.0000 0.0000  4 Ir 2.43, 2 Rh 2.60
Ir: 0.3658 0.5000 0.2358  2 Si 2.43, 1 Ir 2.67
Ir: 0.6342 0.5000 0.7642  2 Si 2.43, 1 Ir 2.67
Rh: 0.0000 0.0000 0.5000  2 Si 2.60, 8 Ir 2.75-2.80, 2 Rh 2.82

**Formation energy (no corrections)**: -5.583 kcal/mol of atoms
**Space-group type**: P2/m

---

# 5
The following is a PBE calculation of LiGaNi4 after structural relaxation, from the Alexandria database.

Cell lengths 4.3510, 4.3510, 5.0391 Å; angles 106.29, 106.29, 48.76 degrees
Closest atoms and distances in Å follow each position.
Positions (direct):
Li: 0.0000 0.0000 0.0000  10 Ni 2.50-2.54, 2 Ga 2.52
Ga: 0.0000 0.0000 0.5000  10 Ni 2.50-2.55, 2 Li 2.52
Ni: 0.3319 0.3319 0.1637  7 Ni 2.50-2.54, 3 Li 2.50-2.52, 2 Ga 2.55
Ni: 0.3320 0.3320 0.6674  7 Ni 2.50-2.54, 3 Ga 2.50-2.53, 2 Li 2.54
Ni: 0.6680 0.6680 0.3326  7 Ni 2.50-2.54, 3 Ga 2.50-2.53, 2 Li 2.54
Ni: 0.6681 0.6681 0.8363  7 Ni 2.50-2.54, 3 Li 2.50-2.52, 2 Ga 2.55

**ΔH_f (0 K)**: -0.88 eV per formula unit
**Space-group type**: C2/m

---

# 6
The following is a PBE calculation of LaAl2Re after structural relaxation, from the Alexandria database.

Cell lengths 4.9611, 4.9611, 4.9611 Å; angles 126.07, 126.07, 79.77 degrees
Closest atoms and distances in Å follow each position.
Positions (direct):
La: 0.0000 0.0000 0.0000  8 Al 2.95, 4 Re 3.18
Al: 0.2500 0.7500 0.5000  4 La 2.95, 4 Re 2.95, 4 Al 3.18
Al: 0.7500 0.2500 0.5000  4 La 2.95, 4 Re 2.95, 4 Al 3.18
Re: 0.5000 0.5000 0.0000  8 Al 2.95, 4 La 3.18

**ΔH_f (0 K)**: 0.30 eV per formula unit
**Space-group type**: I4/mmm

---

# 7
The following is a PBE calculation of Fe5Tc after structural relaxation, from the Alexandria database.

Cell lengths 4.7264, 4.7264, 5.9047 Å; angles 103.26, 103.26, 31.18 degrees
Closest atoms and distances in Å follow each position.
Positions (direct):
Fe: 0.0000 0.0000 0.0000  9 Fe 2.44-2.55, 3 Tc 2.45-2.50
Fe: 0.0544 0.0544 0.6001  10 Fe 2.42-2.54, 2 Tc 2.56
Fe: 0.3400 0.3400 0.6556  10 Fe 2.40-2.54, 2 Tc 2.53
Fe: 0.3963 0.3963 0.2794  10 Fe 2.40-2.54, 2 Tc 2.57
Fe: 0.6711 0.6711 0.3355  11 Fe 2.44-2.55, 1 Tc 2.49
Tc: 0.7238 0.7238 0.9399  10 Fe 2.45-2.57, 2 Tc 2.54

**ΔH_f (0 K)**: 0.68 eV per formula unit
**Space-group type**: Cm

---

# 8
The following is a PBE calculation of SrPaZnO5 after structural relaxation, from the Alexandria database.

Cell lengths 6.0806, 6.0806, 8.1191 Å; angles 103.66, 103.66, 108.14 degrees
Closest atoms and distances in Å follow each position.
Positions (direct):
Sr: 0.1698 0.8302 0.7500  5 O 2.48-2.63
Sr: 0.8302 0.1698 0.2500  5 O 2.48-2.63
Pa: 0.5000 0.5000 0.0000  6 O 2.11-2.17
Pa: 0.5000 0.5000 0.5000  6 O 2.11-2.17
Zn: 0.1841 0.8159 0.2500  4 O 1.96-1.97
Zn: 0.8159 0.1841 0.7500  4 O 1.96-1.97
O: 0.1384 0.2334 0.9099  1 Zn 1.97, 1 Pa 2.11
O: 0.1977 0.6027 0.3956  1 Zn 1.96, 1 Pa 2.17
O: 0.2334 0.1384 0.4099  1 Zn 1.97, 1 Pa 2.11
O: 0.3973 0.8023 0.1044  1 Zn 1.96, 1 Pa 2.17
O: 0.4221 0.5779 0.7500  2 Pa 2.17
O: 0.5779 0.4221 0.2500  2 Pa 2.17
O: 0.6027 0.1977 0.8956  1 Zn 1.96, 1 Pa 2.17
O: 0.7666 0.8616 0.5901  1 Zn 1.97, 1 Pa 2.11
O: 0.8023 0.3973 0.6044  1 Zn 1.96, 1 Pa 2.17
O: 0.8616 0.7666 0.0901  1 Zn 1.97, 1 Pa 2.11

**Formation energy (no corrections)**: -59.851 kcal/mol of atoms
**Space-group type**: C2/c

---

# 9
The following is a PBE calculation of DyTm2 after structural relaxation, from the Alexandria database.

Cell lengths 7.8482, 7.8482, 7.8482 Å; angles 154.28, 154.28, 36.69 degrees
Closest atoms and distances in Å follow each position.
Positions (direct):
Dy: 0.0000 0.0000 0.0000  4 Dy 3.49, 8 Tm 3.51
Tm: 0.3327 0.3327 0.0000  8 Tm 3.49, 4 Dy 3.51
Tm: 0.6673 0.6673 0.0000  8 Tm 3.49, 4 Dy 3.51

**ΔH_f (0 K)**: 0.08 eV per formula unit
**Space-group type**: I4/mmm

---

# 10
The following is a PBE calculation of Dy4ErCd3 after structural relaxation, from the Alexandria database.

Cell lengths 9.4616, 9.4616, 9.4616 Å; angles 32.71, 32.71, 32.71 degrees
Closest atoms and distances in Å follow each position.
Positions (direct):
Dy: 0.1153 0.1153 0.1153  5 Cd 3.10-3.36, 3 Er 3.37
Dy: 0.3705 0.3705 0.3705  7 Cd 3.23-3.49, 1 Er 3.48
Dy: 0.6295 0.6295 0.6295  7 Cd 3.23-3.49, 1 Er 3.48
Dy: 0.8847 0.8847 0.8847  5 Cd 3.10-3.36, 3 Er 3.37
Er: 0.5000 0.5000 0.5000  8 Dy 3.37-3.48, 6 Cd 3.66
Cd: 0.0000 0.0000 0.0000  8 Dy 3.10-3.23
Cd: 0.2405 0.2405 0.2405  8 Dy 3.13-3.49
Cd: 0.7595 0.7595 0.7595  8 Dy 3.13-3.49

**ΔH_f (0 K)**: -1.38 eV per formula unit
**Space-group type**: R-3m